A geometry-optimized CrBTe2I structure, computed with GGA-PBE.

Output
* crystal system: tetragonal
* magnetization: 0.510 μB/atom
* energy relative to the elements, uncorrected: 1131.2 meV/atom
* D(E_F): 4.3 states/eV/cell

Cell: 5.1699 5.1699 5.6698 Å, 90.00 90.00 90.00°
Closest atoms and distances in Å follow each position.
Fractional positions:
Te: 0.0000 0.5000 0.0000  2 Cr 2.58
Te: 0.5000 0.0000 0.0000  2 Cr 2.58
I: 0.0000 0.0000 0.5000  2 Cr 2.83
Cr: 0.0000 0.0000 0.0000  4 Te 2.58, 2 I 2.83
B: 0.5000 0.5000 0.5000  4 I 3.66, 8 Te 3.84

***

A geometry-optimized GeIO2 structure, computed with GGA-PBE.

Output
* crystal system: trigonal
* magnetization: 0.000 μB/atom
* energy relative to the elements, uncorrected: -47.2 meV/atom
* D(E_F): 1.8 states/eV/cell

Cell: 9.8834 9.8834 9.8834 Å, 20.40 20.40 20.40°
Closest atoms and distances in Å follow each position.
Fractional positions:
Ge: 0.0000 0.0000 0.0000  2 O 1.63
O: 0.9438 0.9438 0.9438  1 Ge 1.63
O: 0.0562 0.0562 0.0562  1 Ge 1.63
I: 0.5000 0.5000 0.5000  6 I 3.50, 6 O 3.79

***

A geometry-optimized Ac2AgAu2O6 structure, computed with GGA-PBE.

Output
* crystal system: trigonal
* magnetization: 0.000 μB/atom
* energy relative to the elements, uncorrected: -1131.1 meV/atom
* D(E_F): 6.0 states/eV/cell

Cell: 6.3258 6.3258 6.5247 Å, 61.00 61.00 60.00°
Closest atoms and distances in Å follow each position.
Fractional positions:
Ag: 0.0000 0.0000 0.0000  6 O 2.18
O: 0.8128 0.2360 0.7152  1 Au 2.12, 1 Ag 2.18
O: 0.1872 0.7640 0.2848  1 Au 2.12, 1 Ag 2.18
O: 0.7640 0.1872 0.2848  1 Au 2.12, 1 Ag 2.18
O: 0.7640 0.7640 0.2848  1 Au 2.12, 1 Ag 2.18
O: 0.2360 0.2360 0.7152  1 Au 2.12, 1 Ag 2.18
O: 0.2360 0.8128 0.7152  1 Au 2.12, 1 Ag 2.18
Au: 0.4114 0.4114 0.7658  3 O 2.12
Au: 0.5886 0.5886 0.2342  3 O 2.12
Ac: 0.7887 0.7887 0.6339  3 O 2.44
Ac: 0.2113 0.2113 0.3661  3 O 2.44

***

A geometry-optimized La8Nd2Sn structure, computed with GGA-PBE.

Output
* crystal system: monoclinic
* DFT formation energy: -137 meV/atom
* magnetization: 0.000 μB/atom
* D(E_F): 15.4 states/eV/cell

Cell: 5.0569 8.3069 9.7740 Å, 105.05 104.99 90.00°
Closest atoms and distances in Å follow each position.
Fractional positions:
La: 0.1327 0.1760 0.2655  7 La 3.56-3.90, 2 Sn 3.58, 3 Nd 3.68-3.77
La: 0.6746 0.9116 0.3491  8 La 3.55-3.90, 1 Sn 3.56, 3 Nd 3.71
La: 0.9563 0.2599 0.9126  9 La 3.55-3.89, 2 Sn 3.56, 1 Nd 3.79
La: 0.8673 0.8240 0.7345  7 La 3.56-3.90, 2 Sn 3.58, 3 Nd 3.68-3.77
La: 0.3254 0.0884 0.6509  8 La 3.55-3.90, 1 Sn 3.56, 3 Nd 3.71
La: 0.5890 0.4410 0.1779  8 La 3.59-3.81, 1 Sn 3.60, 3 Nd 3.69-3.70
La: 0.0437 0.7401 0.0874  9 La 3.55-3.89, 2 Sn 3.56, 1 Nd 3.79
La: 0.4110 0.5590 0.8221  8 La 3.59-3.81, 1 Sn 3.60, 3 Nd 3.69-3.70
Nd: 0.2273 0.6374 0.4547  2 Nd 3.66, 10 La 3.68-3.79
Nd: 0.7727 0.3626 0.5453  2 Nd 3.66, 10 La 3.68-3.79
Sn: 0.5000 0.0000 0.0000  12 La 3.56-3.60

***

A geometry-optimized Zr3Mn4 structure, computed with GGA-PBE.

Output
* crystal system: hexagonal
* DFT formation energy: 614 meV/atom
* magnetization: 1.103 μB/atom
* D(E_F): 8.1 states/eV/cell

Cell: 5.8289 5.8289 4.3482 Å, 90.00 90.00 120.00°
Closest atoms and distances in Å follow each position.
Fractional positions:
Mn: 0.3333 0.6667 0.5000  6 Zr 2.75
Mn: 0.0000 0.0000 0.7524  2 Mn 2.15-2.19
Mn: 0.0000 0.0000 0.2476  2 Mn 2.15-2.19
Mn: 0.6667 0.3333 0.5000  6 Zr 2.75
Zr: 0.5000 0.0000 0.0000  4 Mn 2.75, 4 Zr 2.91
Zr: 0.0000 0.5000 0.0000  4 Mn 2.75, 4 Zr 2.91
Zr: 0.5000 0.5000 0.0000  4 Mn 2.75, 4 Zr 2.91

***

A geometry-optimized PClF3 structure, computed with GGA-PBE.

Output
* crystal system: cubic
* magnetization: 0.426 μB/atom
* energy relative to the elements, uncorrected: 379.6 meV/atom
* D(E_F): 7.9 states/eV/cell

Cell: 4.3519 4.3519 4.3519 Å, 90.00 90.00 90.00°
Closest atoms and distances in Å follow each position.
Fractional positions:
Cl: 0.0000 0.0000 0.0000  6 F 2.18
F: 0.5000 0.0000 0.0000  2 Cl 2.18
F: 0.0000 0.5000 0.0000  2 Cl 2.18
F: 0.0000 0.0000 0.5000  2 Cl 2.18
P: 0.5000 0.5000 0.5000  12 F 3.08

***

A geometry-optimized CsNd2UTe5 structure, computed with GGA-PBE.

Output
* crystal system: orthorhombic
* magnetization: 0.316 μB/atom
* energy relative to the elements, uncorrected: -1069.3 meV/atom
* D(E_F): 7.7 states/eV/cell

Cell: 5.7051 8.1895 9.2322 Å, 116.33 108.00 90.00°
Closest atoms and distances in Å follow each position.
Fractional positions:
U: 0.5000 0.0000 0.0000  6 Te 2.85-3.07
Te: 0.3461 0.0822 0.6922  1 U 3.07, 1 Nd 3.11
Te: 0.6539 0.9178 0.3078  1 U 3.07, 1 Nd 3.11
Te: 0.3461 0.6100 0.6922  1 U 3.07, 1 Nd 3.11
Te: 0.0000 0.0000 0.0000  2 U 2.85, 2 Nd 3.13
Te: 0.6539 0.3900 0.3078  1 U 3.07, 1 Nd 3.11
Nd: 0.2017 0.2017 0.4035  3 Te 3.11-3.13
Nd: 0.7983 0.7983 0.5965  3 Te 3.11-3.13
Cs: 0.0000 0.5000 0.0000  10 Te 4.09-4.30

***

A geometry-optimized MgHg2Pb structure, computed with GGA-PBE.

Output
* crystal system: orthorhombic
* DFT formation energy: -37 meV/atom
* magnetization: 0.000 μB/atom
* D(E_F): 1.5 states/eV/cell

Cell: 6.1178 6.1178 6.1178 Å, 141.93 132.83 62.16°
Closest atoms and distances in Å follow each position.
Fractional positions:
Hg: 0.7324 0.2324 0.5000  2 Mg 3.04, 4 Pb 3.17, 2 Hg 3.38
Hg: 0.9924 0.9924 0.0000  4 Mg 3.17, 4 Hg 3.38-3.51, 4 Pb 3.44-3.45
Pb: 0.2614 0.7614 0.5000  8 Hg 3.17-3.45, 2 Mg 3.31
Mg: 0.5137 0.5137 0.0000  6 Hg 3.04-3.17, 2 Pb 3.31

***

A geometry-optimized OsPdSN structure, computed with GGA-PBE.

Output
* crystal system: triclinic
* magnetization: 0.000 μB/atom
* energy relative to the elements, uncorrected: 240.3 meV/atom
* D(E_F): 1.2 states/eV/cell

Cell: 2.8558 3.6865 5.8414 Å, 98.50 90.16 112.94°
Closest atoms and distances in Å follow each position.
Fractional positions:
Os: 0.6337 0.3663 0.0149  3 N 2.04
S: 0.2127 0.5201 0.3389  2 Os 2.36, 2 Pd 2.36-2.64
Pd: 0.9831 0.0691 0.6080  1 N 2.08
N: 0.9169 0.9339 0.9430  3 Os 2.04, 1 Pd 2.08

***

A geometry-optimized SrNbBr structure, computed with GGA-PBE.

Output
* crystal system: triclinic
* magnetization: 0.000 μB/atom
* energy relative to the elements, uncorrected: -631.6 meV/atom
* D(E_F): 3.4 states/eV/cell

Cell: 3.7015 3.7014 13.0117 Å, 89.76 89.91 90.00°
Closest atoms and distances in Å follow each position.
Fractional positions:
Br: 0.7520 0.2556 0.6360  4 Sr 3.11
Br: 0.2480 0.7444 0.3640  4 Sr 3.11
Nb: 0.7503 0.2506 0.9641  4 Nb 2.78
Nb: 0.2499 0.7494 0.0359  4 Nb 2.78
Sr: 0.7487 0.2464 0.2345  4 Br 3.11
Sr: 0.2513 0.7536 0.7655  4 Br 3.11

***

A geometry-optimized Ti4AsS5 structure, computed with GGA-PBE.

Output
* crystal system: monoclinic
* magnetization: 0.000 μB/atom
* energy relative to the elements, uncorrected: -1215.3 meV/atom
* D(E_F): 7.0 states/eV/cell

Cell: 3.4793 7.1646 7.7983 Å, 101.06 102.89 90.00°
Closest atoms and distances in Å follow each position.
Fractional positions:
Ti: 0.3262 0.9173 0.6525  5 S 2.39-2.49, 1 As 2.59
Ti: 0.0050 0.2693 0.0100  4 S 2.39-2.56, 2 As 2.59
Ti: 0.9950 0.7307 0.9900  4 S 2.39-2.56, 2 As 2.59
Ti: 0.6738 0.0827 0.3475  5 S 2.39-2.49, 1 As 2.59
S: 0.1659 0.8306 0.3319  4 Ti 2.39-2.56
S: 0.1650 0.3184 0.3301  3 Ti 2.39-2.45
S: 0.5000 0.5000 0.0000  4 Ti 2.41
S: 0.8341 0.1694 0.6681  4 Ti 2.39-2.56
S: 0.8350 0.6816 0.6699  3 Ti 2.39-2.45
As: 0.5000 0.0000 0.0000  6 Ti 2.59

***

A geometry-optimized MgAg2TeO4 structure, computed with GGA-PBE.

Output
* crystal system: triclinic
* magnetization: 0.000 μB/atom
* energy relative to the elements, uncorrected: -1026.1 meV/atom
* D(E_F): 0.0 states/eV/cell

Cell: 5.5503 6.2579 5.8111 Å, 132.42 129.27 73.30°
Closest atoms and distances in Å follow each position.
Fractional positions:
O: 0.6281 0.5476 0.6060  1 Mg 2.05, 1 Te 2.09
O: 0.3558 0.7522 0.2019  1 Te 1.93, 1 Mg 2.03
O: 0.9779 0.0589 0.6068  1 Mg 2.05, 1 Te 2.10
O: 0.8462 0.4506 0.2027  1 Te 1.93, 1 Mg 2.03
Mg: 0.0016 0.5009 0.0025  4 O 2.03-2.05
Te: 0.7964 0.7962 0.5928  4 O 1.93-2.10
Ag: 0.2612 0.2609 0.5224  6 O 2.48-2.70
Ag: 0.5200 0.0198 0.0390  4 O 2.46-2.51

***

| no. | mass density (kg/m3) |
| --- | --- |
| 1 | 4875 |
| 2 | 3745 |
| 3 | 9321 |
| 4 | 6600 |
| 5 | 6404 |
| 6 | 2487 |
| 7 | 5937 |
| 8 | 10264 |
| 9 | 10183 |
| 10 | 4852 |
| 11 | 3814 |
| 12 | 6408 |